A relaxed Pa6NbSn10 crystal, computed with PBE.

Unit cell a=9.120 b=9.120 c=6.101 alpha=90.00 beta=90.00 gamma=120.00
Atoms (fractional coordinates):
Pa  0.000  0.389  0.245
Pa  0.000  0.611  0.755
Pa  0.389  0.000  0.245
Pa  0.389  0.389  0.755
Pa  0.611  0.000  0.755
Pa  0.611  0.611  0.245
Nb  0.000  0.000  0.000
Sn  0.000  0.252  0.726
Sn  0.000  0.748  0.274
Sn  0.252  0.000  0.726
Sn  0.252  0.252  0.274
Sn  0.333  0.667  0.000
Sn  0.333  0.667  0.500
Sn  0.667  0.333  0.000
Sn  0.667  0.333  0.500
Sn  0.748  0.000  0.274
Sn  0.748  0.748  0.726

Output
Its total energy is -6.51 eV per atom. For the energy relative to the elements, the calculation gives -0.212 eV/atom. Its calculated volume is 439 Å³/f.u.

A relaxed TbSc2AlS6 crystal, computed with PBE.

Unit cell a=6.954 b=6.954 c=6.954 alpha=55.78 beta=55.78 gamma=55.78
Atoms (fractional coordinates):
Tb  0.000  0.000  0.000
Sc  0.296  0.296  0.296
Sc  0.802  0.802  0.802
Al  0.491  0.491  0.491
S  0.100  0.680  0.420
S  0.222  0.579  0.879
S  0.420  0.100  0.680
S  0.579  0.879  0.222
S  0.680  0.420  0.100
S  0.879  0.222  0.579

Output
Its total energy is -6.25 eV per atom. Its calculated volume is 215 Å³/f.u.

A relaxed AlSb crystal, computed with PBE.

Unit cell a=4.289 b=4.289 c=5.243 alpha=90.00 beta=90.00 gamma=97.30
Atoms (fractional coordinates):
Al  0.127  0.873  0.750
Al  0.873  0.127  0.250
Sb  0.310  0.690  0.250
Sb  0.690  0.310  0.750

Output
Its total energy is -3.91 eV per atom. Its calculated volume is 48 Å³/f.u.

A relaxed Pm3CdNi8 crystal, computed with PBE.

Unit cell a=8.860 b=8.860 c=8.860 alpha=33.31 beta=33.31 gamma=33.31
Atoms (fractional coordinates):
Pm  0.000  0.000  0.000
Pm  0.128  0.128  0.128
Pm  0.617  0.617  0.617
Cd  0.496  0.496  0.496
Ni  0.059  0.059  0.563
Ni  0.059  0.563  0.059
Ni  0.063  0.560  0.560
Ni  0.311  0.311  0.311
Ni  0.560  0.063  0.560
Ni  0.560  0.560  0.063
Ni  0.563  0.059  0.059
Ni  0.811  0.811  0.811

Output
Its total energy is -5.45 eV per atom. For the energy relative to the elements, the calculation gives -0.328 eV/atom. Its calculated volume is 187 Å³/f.u.